# 1
Below is Mn5H after structural relaxation, with properties calculated at the GGA-PBE level.

## Properties
total DFT energy (no corrections)	-7.8302	eV per atom

abc: 3.829 3.831 4.465
angles: 115.40 90.00 90.00
Site moments in Bohr magnetons follow the coordinates.
Atoms (fractional coordinates):
Mn1 0.000 0.665 0.331  -0.03
Mn2 0.500 0.841 0.683  -0.04
Mn3 0.000 0.335 0.669  -0.03
Mn4 0.500 0.159 0.317  -0.04
Mn5 0.500 0.500 0.000  0.29
H1 0.000 0.000 0.000  0.01

=====

# 2
Below is Zn2InPdRh after structural relaxation, with properties calculated at the GGA-PBE level.

## Properties
total DFT energy (no corrections)	-3.3218	eV per atom
ΔH_f (0 K)	0.244	eV/atom

abc: 4.697 5.027 4.697
angles: 90.00 90.00 90.00
Atoms (fractional coordinates):
Zn1 0.500 0.000 0.000
Zn2 0.000 0.000 0.500
Rh1 0.000 0.000 0.000
In1 0.000 0.500 0.000
Pd1 0.500 0.500 0.500

=====

# 3
Below is MnSi2Ru after structural relaxation, with properties calculated at the GGA-PBE level.

## Properties
total DFT energy (no corrections)	-7.6713	eV per atom
formation energy without anion corrections	-0.3484	eV/atom

abc: 5.569 5.569 5.569
angles: 149.26 142.99 48.85
Site moments in Bohr magnetons follow the coordinates.
Atoms (fractional coordinates):
Ru1 0.708 0.208 0.500  0.13
Si1 0.287 0.787 0.500  -0.04
Si2 0.036 0.036 0.000  -0.07
Mn1 0.469 0.469 0.000  1.78